Density functional theory data (GGA-PBE) for a relaxed Pr8TlBi5 crystal.

The calculation puts the volume at 33.244 A^3/atom. The value obtained for the energy of formation from the pure elements is -0.76 eV/atom. As for the space group: I-4 (82). For the total magnetization, the calculation gives 0.000 μB/cell. Its electronic total energy is -5.05 eV per atom.

Cell lengths 8.4558, 8.4558, 8.4558 Å; angles 109.62, 109.17, 109.62 degrees
Fractional coordinates of all 14 atoms:
Bi (0.3762, 0.1266, 0.0013)
Bi (0.9987, 0.3749, 0.1253)
Bi (0.8747, 0.8734, 0.2496)
Bi (0.5000, 0.0000, 0.5000)
Bi (0.7504, 0.6251, 0.6238)
Pr (0.7689, 0.2498, 0.3749)
Pr (0.2658, 0.2496, 0.3760)
Pr (0.9838, 0.1102, 0.7342)
Pr (0.1264, 0.7504, 0.0162)
Pr (0.1251, 0.7502, 0.5191)
Pr (0.6240, 0.8898, 0.8736)
Pr (0.6251, 0.3940, 0.8749)
Pr (0.4809, 0.6060, 0.2311)
Tl (0.2500, 0.5000, 0.7500)

---

Density functional theory data (GGA-PBE) for a relaxed Pr4TlBi crystal.

The calculation puts the volume at 33.145 A^3/atom. The value obtained for the energy of formation from the pure elements is -0.40 eV/atom. As for the space group: C2/c (15). For the total magnetization, the calculation gives 0.000 μB/cell. Its electronic total energy is -4.62 eV per atom.

Cell lengths 6.4632, 8.9338, 8.6111 Å; angles 113.19, 101.68, 109.46 degrees
Fractional coordinates of all 12 atoms:
Pr (0.3516, 0.9128, 0.6187)
Pr (0.6484, 0.0872, 0.3813)
Pr (0.2578, 0.6065, 0.8248)
Pr (0.0670, 0.2183, 0.8248)
Pr (0.7671, 0.7059, 0.6187)
Pr (0.7422, 0.3935, 0.1752)
Pr (0.9330, 0.7817, 0.1752)
Pr (0.2329, 0.2941, 0.3813)
Bi (0.6341, 0.3841, 0.7683)
Bi (0.3659, 0.6159, 0.2317)
Tl (0.7478, 0.9978, 0.9956)
Tl (0.2522, 0.0022, 0.0044)

---

Density functional theory data (GGA-PBE) for a relaxed PrTl2Bi2 crystal.

The calculation puts the volume at 32.263 A^3/atom. The value obtained for the energy of formation from the pure elements is -0.38 eV/atom. As for the space group: Cmcm (63). For the total magnetization, the calculation gives 0.000 μB/cell. Its electronic total energy is -3.84 eV per atom.

Cell lengths 4.6806, 4.6302, 15.0700 Å; angles 90.00, 98.93, 90.00 degrees
Fractional coordinates of all 10 atoms:
Tl (0.4473, 0.7500, 0.8946)
Tl (0.0519, 0.7500, 0.1039)
Tl (0.5527, 0.2500, 0.1054)
Tl (0.9481, 0.2500, 0.8961)
Pr (0.6641, 0.7500, 0.3282)
Pr (0.3359, 0.2500, 0.6718)
Bi (0.8621, 0.7500, 0.7242)
Bi (0.1379, 0.2500, 0.2758)
Bi (0.2498, 0.7500, 0.4996)
Bi (0.7502, 0.2500, 0.5004)

---

Density functional theory data (GGA-PBE) for a relaxed PrTlBi4 crystal.

The calculation puts the volume at 33.742 A^3/atom. The value obtained for the energy of formation from the pure elements is -0.13 eV/atom. As for the space group: F-43m (216). For the total magnetization, the calculation gives 0.000 μB/cell. Its electronic total energy is -3.91 eV per atom.

Cell lengths 6.5909, 6.5909, 6.5909 Å; angles 60.00, 60.00, 60.00 degrees
Fractional coordinates of all 6 atoms:
Bi (0.1236, 0.6255, 0.6255)
Bi (0.6255, 0.6255, 0.6255)
Bi (0.6255, 0.6255, 0.1236)
Bi (0.6255, 0.1236, 0.6255)
Tl (0.0000, 0.0000, 0.0000)
Pr (0.2500, 0.2500, 0.2500)

---

Density functional theory data (GGA-PBE) for a relaxed Pr5TlBi2 crystal.

The calculation puts the volume at 34.878 A^3/atom. The value obtained for the energy of formation from the pure elements is -0.31 eV/atom. As for the space group: Cmcm (63). For the total magnetization, the calculation gives 0.001 μB/cell. Its electronic total energy is -4.57 eV per atom.

Cell lengths 6.0992, 6.7648, 15.1520 Å; angles 90.00, 90.00, 116.80 degrees
Fractional coordinates of all 16 atoms:
Pr (0.5931, 0.1863, 0.2500)
Pr (0.6231, 0.2462, 0.5482)
Pr (0.0776, 0.1552, 0.1033)
Pr (0.0776, 0.1552, 0.3967)
Pr (0.9224, 0.8448, 0.8967)
Pr (0.3769, 0.7538, 0.0482)
Pr (0.3769, 0.7538, 0.4518)
Pr (0.9224, 0.8448, 0.6033)
Pr (0.4069, 0.8137, 0.7500)
Pr (0.6231, 0.2462, 0.9518)
Bi (0.8057, 0.6114, 0.1136)
Bi (0.1943, 0.3886, 0.6136)
Bi (0.8057, 0.6114, 0.3864)
Bi (0.1943, 0.3886, 0.8864)
Tl (0.7019, 0.4039, 0.7500)
Tl (0.2981, 0.5961, 0.2500)

---

Density functional theory data (GGA-PBE) for a relaxed Pr6Tl3Bi crystal.

The calculation puts the volume at 33.838 A^3/atom. The value obtained for the energy of formation from the pure elements is -0.29 eV/atom. As for the space group: Cmc2_1 (36). For the total magnetization, the calculation gives 0.000 μB/cell. Its electronic total energy is -4.25 eV per atom.

Cell lengths 7.8334, 9.5596, 9.5596 Å; angles 109.03, 90.00, 90.00 degrees
Fractional coordinates of all 20 atoms:
Tl (0.3369, 0.4710, 0.5290)
Tl (0.9525, 0.7204, 0.9842)
Tl (0.4525, 0.9842, 0.7204)
Tl (0.8369, 0.5290, 0.4710)
Tl (0.4525, 0.2796, 0.0158)
Tl (0.9525, 0.0158, 0.2796)
Pr (0.5990, 0.6822, 0.7729)
Pr (0.7579, 0.5034, 0.1164)
Pr (0.2579, 0.4966, 0.8836)
Pr (0.2579, 0.1164, 0.5034)
Pr (0.0990, 0.3178, 0.2271)
Pr (0.2532, 0.9696, 0.0304)
Pr (0.2185, 0.6998, 0.3002)
Pr (0.7579, 0.8836, 0.4966)
Pr (0.7185, 0.3002, 0.6998)
Pr (0.5990, 0.2271, 0.3178)
Pr (0.0990, 0.7729, 0.6822)
Pr (0.7532, 0.0304, 0.9696)
Bi (0.0577, 0.1684, 0.8316)
Bi (0.5577, 0.8316, 0.1684)

---

Density functional theory data (GGA-PBE) for a relaxed Pr6Tl5Bi crystal.

The calculation puts the volume at 30.535 A^3/atom. The value obtained for the energy of formation from the pure elements is -0.45 eV/atom. As for the space group: C2/m (12). For the total magnetization, the calculation gives 0.000 μB/cell. Its electronic total energy is -4.15 eV per atom.

Cell lengths 10.2493, 5.2620, 8.3375 Å; angles 71.61, 80.69, 59.18 degrees
Fractional coordinates of all 12 atoms:
Tl (0.5000, 0.5000, 0.0000)
Tl (0.5000, 0.8338, 0.3324)
Tl (0.0000, 0.6740, 0.6521)
Tl (0.0000, 0.3260, 0.3479)
Tl (0.5000, 0.1662, 0.6676)
Pr (0.2507, 0.2492, 0.0000)
Pr (0.7493, 0.7508, 0.0000)
Pr (0.7468, 0.4194, 0.6678)
Pr (0.2532, 0.5806, 0.3322)
Pr (0.2532, 0.9128, 0.6678)
Pr (0.7468, 0.0872, 0.3322)
Bi (0.0000, 0.0000, 0.0000)

---

Density functional theory data (GGA-PBE) for a relaxed Pr4TlBi2 crystal.

The calculation puts the volume at 33.134 A^3/atom. The value obtained for the energy of formation from the pure elements is -0.49 eV/atom. As for the space group: P2_1/m (11). For the total magnetization, the calculation gives 0.006 μB/cell. Its electronic total energy is -4.66 eV per atom.

Cell lengths 6.3174, 6.8905, 10.9854 Å; angles 90.00, 104.05, 90.00 degrees
Fractional coordinates of all 14 atoms:
Pr (0.1521, 0.7500, 0.4590)
Pr (0.4628, 0.0143, 0.7423)
Pr (0.5372, 0.5143, 0.2577)
Pr (0.4628, 0.4857, 0.7423)
Pr (0.8479, 0.2500, 0.5410)
Pr (0.5372, 0.9857, 0.2577)
Pr (0.0354, 0.7500, 0.8563)
Pr (0.9646, 0.2500, 0.1437)
Bi (0.2899, 0.2500, 0.4497)
Bi (0.3999, 0.2500, 0.0008)
Bi (0.7101, 0.7500, 0.5503)
Bi (0.6001, 0.7500, 0.9992)
Tl (0.9417, 0.2500, 0.8277)
Tl (0.0583, 0.7500, 0.1723)